{
  "formula": "In2SiPb",
  "functional": "GGA-PBEsol",
  "state": "optimized geometry",
  "cell": [[4.419, 0.000, 0.000], [0.000, 4.814, 0.000], [0.000, 0.000, 4.528]],
  "species": ["Si", "Pb", "In", "In"],
  "frac_coords": [[0.000, 0.500, 0.500], [0.500, 0.000, 0.500], [0.500, 0.500, 0.000], [0.000, 0.000, 0.000]],
  "dos_ef_per_ev_atom": 0.472,
  "polymorph_energy_kj_per_mol_fu": 24,
  "spacegroup": "Pmmm, No. 47",
  "raw_formation_energy_ev_per_atom": 0.28,
  "magmom_total_mub_per_fu": 0.00
}